A relaxed KLuFeS3 crystal. Source: the Open Quantum Materials Database, functional PBE.

POSCAR file:
```
KLuFeS3
1.0
1.952 -7.085 0.000
1.952 7.085 0.000
0.000 0.000 10.211
K Lu Fe S
2 2 2 6
Cartesian
1.952 3.635 7.658
1.952 -3.635 2.553
1.952 0.000 0.000
1.952 0.000 5.105
1.952 6.615 2.553
1.952 -6.615 7.658
1.952 5.362 0.650
1.952 5.362 4.455
1.952 0.853 2.553
1.952 -0.853 7.658
1.952 -5.362 5.755
1.952 -5.362 9.561
```

electronic total energy = -5.71 eV/atom